VASP calculation (GGA+U) on NaMn2SbO4 after structural relaxation.

```
NaMn2SbO4
1.0
6.251 -0.020 -0.317
-0.025 6.251 -0.317
-3.321 -3.323 5.634
Mn O Na Sb
4 8 2 2
direct
0.500 0.000 0.500
0.500 0.000 0.000
0.000 0.000 0.500
0.500 0.500 0.000
0.338 0.316 0.618
0.662 0.684 0.382
0.729 0.241 0.491
0.741 0.229 0.991
0.816 0.838 0.118
0.184 0.162 0.882
0.259 0.771 0.009
0.271 0.759 0.509
0.000 0.500 0.500
0.000 0.500 0.000
0.000 0.000 0.000
0.500 0.500 0.500
```

The total energy is -6.39 eV per atom.